Record 1
Computed, not measured: crystalline CaLa2MgRu at its relaxed geometry at the PBE level of DFT.

Calculated values
The calculated density is 4.536 g/cm³. As for the total magnetization: 0.00 μB/cell. The energy above the most stable polymorph in this dataset is 0.000 eV/atom. As for the formation enthalpy at 0 K: -0.1397 eV per atom.

abc: 5.4376 5.4376 5.4881
angles: 90.00 90.00 90.00
With the nearest neighbours (Å) after each atom.
Element x y z (fractional)
Ca (0.0000, 0.0000, 0.0000)  4 Mg 3.84, 8 La 3.86
La (0.0000, 0.5000, 0.5000)  2 Ru 2.72
La (0.5000, 0.0000, 0.5000)  2 Ru 2.72
Mg (0.5000, 0.5000, 0.0000)  2 Ru 2.74
Ru (0.5000, 0.5000, 0.5000)  4 La 2.72, 2 Mg 2.74



Record 2
Computed, not measured: crystalline ErPaTcHg at its relaxed geometry at the PBE level of DFT.

Calculated values
The calculated density is 12.819 g/cm³. As for the total magnetization: 0.00 μB/cell. As for the formation enthalpy at 0 K: -0.0113 eV per atom.

abc: 7.1210 7.1210 7.1210
angles: 90.00 90.00 90.00
With the nearest neighbours (Å) after each atom.
Element x y z (fractional)
Er (0.0000, 0.0000, 0.0000)  4 Hg 3.08, 4 Tc 3.08
Er (0.0000, 0.5000, 0.5000)  4 Hg 3.08, 4 Tc 3.08
Er (0.5000, 0.0000, 0.5000)  4 Hg 3.08, 4 Tc 3.08
Er (0.5000, 0.5000, 0.0000)  4 Hg 3.08, 4 Tc 3.08
Pa (0.0000, 0.0000, 0.5000)  4 Hg 3.08, 4 Tc 3.08
Pa (0.0000, 0.5000, 0.0000)  4 Hg 3.08, 4 Tc 3.08
Pa (0.5000, 0.0000, 0.0000)  4 Hg 3.08, 4 Tc 3.08
Pa (0.5000, 0.5000, 0.5000)  4 Hg 3.08, 4 Tc 3.08
Tc (0.2500, 0.2500, 0.7500)  4 Pa 3.08, 4 Er 3.08
Tc (0.2500, 0.7500, 0.2500)  4 Pa 3.08, 4 Er 3.08
Tc (0.7500, 0.2500, 0.2500)  4 Pa 3.08, 4 Er 3.08
Tc (0.7500, 0.7500, 0.7500)  4 Pa 3.08, 4 Er 3.08
Hg (0.2500, 0.2500, 0.2500)  4 Pa 3.08, 4 Er 3.08
Hg (0.2500, 0.7500, 0.7500)  4 Pa 3.08, 4 Er 3.08
Hg (0.7500, 0.2500, 0.7500)  4 Pa 3.08, 4 Er 3.08
Hg (0.7500, 0.7500, 0.2500)  4 Pa 3.08, 4 Er 3.08



Record 3
Computed, not measured: crystalline Ca2AuN at its relaxed geometry at the PBE level of DFT.

Calculated values
The calculation puts the energy relative to the elements, uncorrected at -783 meV per atom. The calculated density is 5.850 g/cm³. As for the total magnetization: 0.00 μB/cell.

abc: 3.6426 3.6426 21.5760
angles: 90.00 90.00 120.00
With the nearest neighbours (Å) after each atom.
Element x y z (fractional)
Ca (0.0000, 0.0000, 0.0000)  3 N 2.45
Ca (0.0000, 0.0000, 0.2177)  3 N 2.44
Ca (0.3333, 0.6667, 0.6667)  3 N 2.45
Ca (0.3333, 0.6667, 0.8844)  3 N 2.44
Ca (0.6667, 0.3333, 0.3333)  3 N 2.45
Ca (0.6667, 0.3333, 0.5510)  3 N 2.44
Au (0.0000, 0.0000, 0.4418)  6 Ca 3.15-3.16
Au (0.3333, 0.6667, 0.1085)  6 Ca 3.15-3.16
Au (0.6667, 0.3333, 0.7752)  6 Ca 3.15-3.16
N (0.0000, 0.0000, 0.6080)  6 Ca 2.44-2.45
N (0.3333, 0.6667, 0.2747)  6 Ca 2.44-2.45
N (0.6667, 0.3333, 0.9413)  6 Ca 2.44-2.45



Record 4
Computed, not measured: crystalline Sr2Sc2V at its relaxed geometry at the PBE level of DFT.

Calculated values
The calculated density is 3.339 g/cm³. As for the total magnetization: 5.94 μB/cell. The energy above the most stable polymorph in this dataset is 0.267 eV/atom. As for the formation enthalpy at 0 K: 0.9986 eV per atom.

abc: 8.7114 8.7114 4.1429
angles: 90.00 90.00 90.00
With the nearest neighbours (Å) after each atom.
Element x y z (fractional)
Sr (0.1418, 0.3582, 0.0000)  6 Sc 3.17-3.38, 2 V 3.36, 1 Sr 3.49
Sr (0.3582, 0.8582, 0.0000)  6 Sc 3.17-3.38, 2 V 3.36, 1 Sr 3.49
Sr (0.6418, 0.1418, 0.0000)  6 Sc 3.17-3.38, 2 V 3.36, 1 Sr 3.49
Sr (0.8582, 0.6418, 0.0000)  6 Sc 3.17-3.38, 2 V 3.36, 1 Sr 3.49
Sc (0.1637, 0.6637, 0.5000)  6 Sr 3.17-3.38
Sc (0.3363, 0.1637, 0.5000)  6 Sr 3.17-3.38
Sc (0.6637, 0.8363, 0.5000)  6 Sr 3.17-3.38
Sc (0.8363, 0.3363, 0.5000)  6 Sr 3.17-3.38
V (0.0000, 0.0000, 0.0000)  4 Sr 3.36
V (0.5000, 0.5000, 0.0000)  4 Sr 3.36



Record 5
Computed, not measured: crystalline YThGa2Au2 at its relaxed geometry at the PBE level of DFT.

Calculated values
The calculated density is 10.652 g/cm³. As for the total magnetization: 0.00 μB/cell. As for the formation enthalpy at 0 K: -0.7335 eV per atom.

abc: 4.5317 4.5317 7.4886
angles: 90.00 90.00 120.00
With the nearest neighbours (Å) after each atom.
Element x y z (fractional)
Y (0.0000, 0.0000, 0.0000)  6 Au 3.13, 6 Ga 3.20
Th (0.0000, 0.0000, 0.5000)  6 Ga 3.23, 6 Au 3.31
Ga (0.3333, 0.6667, 0.2462)  3 Au 2.62
Ga (0.6667, 0.3333, 0.7538)  3 Au 2.62
Au (0.3333, 0.6667, 0.7711)  3 Ga 2.62
Au (0.6667, 0.3333, 0.2289)  3 Ga 2.62



Record 6
Computed, not measured: crystalline YEr5Tm at its relaxed geometry at the PBE level of DFT.

Calculated values
The calculated density is 6.231 g/cm³. As for the total magnetization: 0.00 μB/cell. The energy above the most stable polymorph in this dataset is 0.947 eV/atom. As for the formation enthalpy at 0 K: 1.1519 eV per atom.

abc: 5.7312 8.5533 11.8969
angles: 90.00 90.00 90.00
With the nearest neighbours (Å) after each atom.
Element x y z (fractional)
Y (0.0000, 0.0000, 0.0000)  6 Er 2.76-2.91
Y (0.5000, 0.5000, 0.5000)  6 Er 2.76-2.91
Er (0.0000, 0.0000, 0.2448)  1 Y 2.91, 1 Tm 3.04
Er (0.0000, 0.0000, 0.7552)  1 Y 2.91, 1 Tm 3.04
Er (0.0000, 0.3229, 0.0000)  1 Y 2.76, 1 Er 3.03
Er (0.0000, 0.5000, 0.5000)  2 Y 2.87
Er (0.0000, 0.6771, 0.0000)  1 Y 2.76, 1 Er 3.03
Er (0.5000, 0.0000, 0.0000)  2 Y 2.87
Er (0.5000, 0.1771, 0.5000)  1 Y 2.76, 1 Er 3.03
Er (0.5000, 0.5000, 0.2552)  1 Y 2.91, 1 Tm 3.04
Er (0.5000, 0.5000, 0.7448)  1 Y 2.91, 1 Tm 3.04
Er (0.5000, 0.8229, 0.5000)  1 Y 2.76, 1 Er 3.03
Tm (0.0000, 0.0000, 0.5000)  6 Er 3.04-3.24
Tm (0.5000, 0.5000, 0.0000)  6 Er 3.04-3.24



Record 7
Computed, not measured: crystalline Mg2HgPt9 at its relaxed geometry at the PBE level of DFT.

Calculated values
The calculated density is 17.367 g/cm³. As for the total magnetization: 0.00 μB/cell. As for the formation enthalpy at 0 K: -0.3857 eV per atom.

abc: 3.9780 3.9780 12.1138
angles: 90.00 90.00 90.00
With the nearest neighbours (Å) after each atom.
Element x y z (fractional)
Mg (0.0000, 0.0000, 0.1640)  12 Pt 2.78-2.81
Mg (0.0000, 0.0000, 0.8360)  12 Pt 2.78-2.81
Hg (0.0000, 0.0000, 0.5000)  12 Pt 2.81-2.91
Pt (0.0000, 0.5000, 0.0000)  8 Pt 2.79-2.81, 4 Mg 2.81
Pt (0.0000, 0.5000, 0.3242)  2 Mg 2.78, 8 Pt 2.80-2.91, 2 Hg 2.91
Pt (0.0000, 0.5000, 0.6758)  2 Mg 2.78, 8 Pt 2.80-2.91, 2 Hg 2.91
Pt (0.5000, 0.0000, 0.0000)  8 Pt 2.79-2.81, 4 Mg 2.81
Pt (0.5000, 0.0000, 0.3242)  2 Mg 2.78, 8 Pt 2.80-2.91, 2 Hg 2.91
Pt (0.5000, 0.0000, 0.6758)  2 Mg 2.78, 8 Pt 2.80-2.91, 2 Hg 2.91
Pt (0.5000, 0.5000, 0.1617)  8 Pt 2.79-2.80, 4 Mg 2.81
Pt (0.5000, 0.5000, 0.5000)  4 Hg 2.81, 8 Pt 2.91
Pt (0.5000, 0.5000, 0.8383)  8 Pt 2.79-2.80, 4 Mg 2.81



Record 8
Computed, not measured: crystalline Ho5As2Se2 at its relaxed geometry at the PBE level of DFT.

Calculated values
The calculation puts the energy relative to the elements, uncorrected at -1324 meV per atom. The calculated density is 8.989 g/cm³. As for the total magnetization: 0.00 μB/cell.

abc: 8.1576 8.1576 7.6384
angles: 90.00 90.00 55.40
With the nearest neighbours (Å) after each atom.
Element x y z (fractional)
Ho (0.0000, 0.0000, 0.0000)  2 Se 2.85, 4 As 2.90-2.93
Ho (0.0233, 0.7067, 0.6555)  3 As 2.88-3.02, 3 Se 2.95-3.03
Ho (0.2067, 0.5233, 0.1555)  3 As 2.88-3.02, 3 Se 2.95-3.03
Ho (0.2933, 0.9767, 0.6555)  3 As 2.88-3.02, 3 Se 2.95-3.03
Ho (0.4767, 0.7933, 0.1555)  3 As 2.88-3.02, 3 Se 2.95-3.03
Ho (0.5000, 0.5000, 0.5000)  2 Se 2.85, 4 As 2.90-2.93
Ho (0.5233, 0.2067, 0.8445)  3 As 2.88-3.02, 3 Se 2.95-3.03
Ho (0.7067, 0.0233, 0.3445)  3 As 2.88-3.02, 3 Se 2.95-3.03
Ho (0.7933, 0.4767, 0.8445)  3 As 2.88-3.02, 3 Se 2.95-3.03
Ho (0.9767, 0.2933, 0.3445)  3 As 2.88-3.02, 3 Se 2.95-3.03
As (0.1464, 0.8536, 0.3550)  8 Ho 2.88-3.02, 1 As 3.14
As (0.3536, 0.6464, 0.8550)  8 Ho 2.88-3.02, 1 As 3.14
As (0.6464, 0.3536, 0.1450)  8 Ho 2.88-3.02, 1 As 3.14
As (0.8536, 0.1464, 0.6450)  8 Ho 2.88-3.02, 1 As 3.14
Se (0.1974, 0.1974, 0.0000)  7 Ho 2.85-3.03
Se (0.3026, 0.3026, 0.5000)  7 Ho 2.85-3.03
Se (0.6974, 0.6974, 0.5000)  7 Ho 2.85-3.03
Se (0.8026, 0.8026, 0.0000)  7 Ho 2.85-3.03



Record 9
Computed, not measured: crystalline TlGaPdF6 at its relaxed geometry at the PBE level of DFT.

Calculated values
The calculation puts the energy relative to the elements, uncorrected at -1967 meV per atom. The calculated density is 5.109 g/cm³. As for the total magnetization: 1.99 μB/cell.

abc: 5.5893 5.5893 5.9396
angles: 90.00 90.00 120.00
With the nearest neighbours (Å) after each atom.
Element x y z (fractional)
Tl (0.0000, 0.0000, 0.0000)  6 F 2.81
Ga (0.6667, 0.3333, 0.5000)  6 F 1.94
Pd (0.3333, 0.6667, 0.5000)  6 F 2.22
F (0.3914, 0.0372, 0.6839)  1 Ga 1.94
F (0.3914, 0.3542, 0.3161)  1 Ga 1.94
F (0.6458, 0.0372, 0.3161)  1 Ga 1.94
F (0.6458, 0.6086, 0.6839)  1 Ga 1.94
F (0.9628, 0.3542, 0.6839)  1 Ga 1.94
F (0.9628, 0.6086, 0.3161)  1 Ga 1.94



Record 10
Computed, not measured: crystalline InAu2Se at its relaxed geometry at the PBE level of DFT.

Calculated values
The calculation puts the energy relative to the elements, uncorrected at 123 meV per atom. The calculated density is 11.709 g/cm³. As for the total magnetization: 0.00 μB/cell. The energy above the most stable polymorph in this dataset is 0.227 eV/atom.

abc: 6.9340 6.9340 6.9340
angles: 90.00 90.00 90.00
With the nearest neighbours (Å) after each atom.
Element x y z (fractional)
In (0.0000, 0.0000, 0.0000)  8 Au 3.00
In (0.0000, 0.5000, 0.5000)  8 Au 3.00
In (0.5000, 0.0000, 0.5000)  8 Au 3.00
In (0.5000, 0.5000, 0.0000)  8 Au 3.00
Au (0.2500, 0.2500, 0.2500)  4 In 3.00, 4 Se 3.00
Au (0.2500, 0.2500, 0.7500)  4 In 3.00, 4 Se 3.00
Au (0.2500, 0.7500, 0.2500)  4 In 3.00, 4 Se 3.00
Au (0.2500, 0.7500, 0.7500)  4 In 3.00, 4 Se 3.00
Au (0.7500, 0.2500, 0.2500)  4 In 3.00, 4 Se 3.00
Au (0.7500, 0.2500, 0.7500)  4 In 3.00, 4 Se 3.00
Au (0.7500, 0.7500, 0.2500)  4 In 3.00, 4 Se 3.00
Au (0.7500, 0.7500, 0.7500)  4 In 3.00, 4 Se 3.00
Se (0.0000, 0.0000, 0.5000)  8 Au 3.00
Se (0.0000, 0.5000, 0.0000)  8 Au 3.00
Se (0.5000, 0.0000, 0.0000)  8 Au 3.00
Se (0.5000, 0.5000, 0.5000)  8 Au 3.00



Record 11
Computed, not measured: crystalline DyTm10Th4 at its relaxed geometry at the PBE level of DFT.

Calculated values
The calculated density is 9.553 g/cm³. As for the total magnetization: 0.00 μB/cell. As for the formation enthalpy at 0 K: 0.2997 eV per atom.

abc: 8.8024 8.8024 8.8024
angles: 101.10 101.10 127.96
With the nearest neighbours (Å) after each atom.
Element x y z (fractional)
Dy (0.0000, 0.0000, 0.0000)  8 Tm 3.25, 4 Th 3.60
Tm (0.0838, 0.2925, 0.7912)  4 Tm 3.20-3.30, 1 Dy 3.25, 4 Th 3.41-3.51
Tm (0.2500, 0.7500, 0.5000)  4 Tm 3.27
Tm (0.2925, 0.0838, 0.7912)  4 Tm 3.20-3.30, 1 Dy 3.25, 4 Th 3.41-3.51
Tm (0.2925, 0.5013, 0.2088)  4 Tm 3.20-3.30, 1 Dy 3.25, 4 Th 3.41-3.51
Tm (0.4987, 0.7075, 0.7912)  4 Tm 3.20-3.30, 1 Dy 3.25, 4 Th 3.41-3.51
Tm (0.5013, 0.2925, 0.2088)  4 Tm 3.20-3.30, 1 Dy 3.25, 4 Th 3.41-3.51
Tm (0.7075, 0.4987, 0.7912)  4 Tm 3.20-3.30, 1 Dy 3.25, 4 Th 3.41-3.51
Tm (0.7075, 0.9162, 0.2088)  4 Tm 3.20-3.30, 1 Dy 3.25, 4 Th 3.41-3.51
Tm (0.7500, 0.2500, 0.5000)  4 Tm 3.27
Tm (0.9162, 0.7075, 0.2088)  4 Tm 3.20-3.30, 1 Dy 3.25, 4 Th 3.41-3.51
Th (0.2278, 0.2278, 0.4556)  8 Tm 3.41-3.51, 1 Dy 3.60
Th (0.2278, 0.7722, 0.0000)  8 Tm 3.41-3.51, 1 Dy 3.60
Th (0.7722, 0.2278, 0.0000)  8 Tm 3.41-3.51, 1 Dy 3.60
Th (0.7722, 0.7722, 0.5444)  8 Tm 3.41-3.51, 1 Dy 3.60



Record 12
Computed, not measured: crystalline AgRuPt2 at its relaxed geometry at the PBE level of DFT.

Calculated values
The calculated density is 15.938 g/cm³. As for the total magnetization: 0.00 μB/cell. The energy above the most stable polymorph in this dataset is 0.084 eV/atom. As for the formation enthalpy at 0 K: 0.1121 eV per atom.

abc: 2.7781 2.7781 28.0163
angles: 90.00 90.00 120.00
With the nearest neighbours (Å) after each atom.
Element x y z (fractional)
Ag (0.0000, 0.0000, 0.0000)  6 Ag 2.78, 3 Ru 2.88, 3 Pt 2.90
Ag (0.3333, 0.6667, 0.6667)  6 Ag 2.78, 3 Ru 2.88, 3 Pt 2.90
Ag (0.6667, 0.3333, 0.3333)  6 Ag 2.78, 3 Ru 2.88, 3 Pt 2.90
Ru (0.0000, 0.0000, 0.2478)  3 Pt 2.70, 6 Ru 2.78, 3 Ag 2.88
Ru (0.3333, 0.6667, 0.9145)  3 Pt 2.70, 6 Ru 2.78, 3 Ag 2.88
Ru (0.6667, 0.3333, 0.5811)  3 Pt 2.70, 6 Ru 2.78, 3 Ag 2.88
Pt (0.0000, 0.0000, 0.5038)  3 Ru 2.70, 9 Pt 2.78-2.85
Pt (0.0000, 0.0000, 0.7529)  9 Pt 2.78-2.85, 3 Ag 2.90
Pt (0.3333, 0.6667, 0.1704)  3 Ru 2.70, 9 Pt 2.78-2.85
Pt (0.3333, 0.6667, 0.4196)  9 Pt 2.78-2.85, 3 Ag 2.90
Pt (0.6667, 0.3333, 0.0863)  9 Pt 2.78-2.85, 3 Ag 2.90
Pt (0.6667, 0.3333, 0.8371)  3 Ru 2.70, 9 Pt 2.78-2.85



> total magnetization of number 8 (Ho5As2Se2)?

0.00 μB/cell



> The highest total magnetization belongs to which entry?

Sr2Sc2V



> Number 9 is which compound?

TlGaPdF6



> Look up the calculated density of the ninth one.

5.109 g/cm³